[1]
# CoSbAsO, relaxed, DFT PBE+U
data_CoSbAsO
_cell_length_a 4.430
_cell_length_b 5.944
_cell_length_c 5.843
_cell_angle_alpha 90.00
_cell_angle_beta 90.00
_cell_angle_gamma 90.00
_space_group_name_H-M_alt 'P m c 21'
_space_group_IT_number 26
loop_
_space_group_symop_operation_xyz
'x,y,z'
'-x,-y,z+1/2'
'-x,y,z'
'x,-y,z+1/2'
loop_
_atom_site_label
_atom_site_fract_x
_atom_site_fract_y
_atom_site_fract_z
Co1 0.000 0.134 0.000
Sb1 0.500 0.248 0.400
As1 0.500 0.286 0.866
O1 0.000 0.169 0.348
# * raw total energy: -40.01 eV per cell
# * crystal system: orthorhombic
# * total magnetic moment: 2.94 μB/f.u.
# * excess energy over the best structure of this formula in the dataset: 7.3 meV/atom


[2]
# CoSbAsO, relaxed, DFT PBE+U
data_CoSbAsO
_cell_length_a 3.655
_cell_length_b 7.510
_cell_length_c 6.128
_cell_angle_alpha 90.00
_cell_angle_beta 90.00
_cell_angle_gamma 90.00
_space_group_name_H-M_alt 'P m c 21'
_space_group_IT_number 26
loop_
_space_group_symop_operation_xyz
'x,y,z'
'-x,-y,z+1/2'
'-x,y,z'
'x,-y,z+1/2'
loop_
_atom_site_label
_atom_site_fract_x
_atom_site_fract_y
_atom_site_fract_z
Co1 0.000 0.150 0.000
Sb1 0.500 0.358 0.606
As1 0.000 0.170 0.405
O1 0.500 0.226 0.898
# * raw total energy: -40.07 eV per cell
# * crystal system: orthorhombic
# * total magnetic moment: 3.00 μB/f.u.
# * excess energy over the best structure of this formula in the dataset: 0.0 meV/atom


| no. | density (g cm⁻³) |
| --- | --- |
| 1 | 5.86 |
| 2 | 5.36 |